Lu2GeC | PBE | relaxed

Cell lengths 7.8152, 7.8152, 7.8152 Å; angles 31.25, 31.25, 31.25 degrees
Closest atoms and distances in Å follow each position.
Fractional positions:
Lu 0.1007 0.1007 0.1007  1 C 2.24
Lu 0.8993 0.8993 0.8993  1 C 2.24
Ge 0.5000 0.5000 0.5000  6 Lu 2.84
C 0.0000 0.0000 0.0000  2 Lu 2.24

Properties
**N(E_F)**: 1.082 states/eV/atom
**ΔE_f**: 0.678 eV/atom
**V**: 114.0 Å³ per cell


KTlAg2Cl8 | PBE | relaxed

Cell lengths 8.3821, 8.3821, 8.3821 Å; angles 129.52, 129.52, 74.17 degrees
Closest atoms and distances in Å follow each position.
Fractional positions:
K 0.0000 0.0000 0.0000  8 Cl 3.31-3.53
Tl 0.2500 0.7500 0.5000  4 Cl 2.59
Ag 0.5000 0.5000 0.0000  4 Cl 2.34
Ag 0.7500 0.2500 0.5000  4 Cl 2.68
Cl 0.0421 0.4130 0.0084  1 Tl 2.59, 1 Ag 2.68
Cl 0.1925 0.4359 0.6081  1 Ag 2.34
Cl 0.4045 0.0337 0.9916  1 Tl 2.59, 1 Ag 2.68
Cl 0.4156 0.8075 0.2434  1 Ag 2.34
Cl 0.5641 0.1722 0.7566  1 Ag 2.34
Cl 0.5870 0.5955 0.6292  1 Tl 2.59, 1 Ag 2.68
Cl 0.8278 0.5844 0.3919  1 Ag 2.34
Cl 0.9663 0.9579 0.3708  1 Tl 2.59, 1 Ag 2.68

Properties
**Uncorrected formation energy**: -0.632 eV/atom
**N(E_F)**: 0.033 states/eV/atom
**V**: 341.7 Å³ per cell


TlAgGe | PBE | relaxed

Cell lengths 6.6626, 6.6626, 6.0603 Å; angles 109.78, 109.78, 35.47 degrees
Closest atoms and distances in Å follow each position.
Fractional positions:
Tl 0.1035 0.1035 0.3092  4 Ag 3.09-3.29, 3 Ge 3.15-3.16
Tl 0.8965 0.8965 0.6908  4 Ag 3.09-3.29, 3 Ge 3.15-3.16
Ag 0.4153 0.4153 0.2789  3 Ge 2.69-2.81, 1 Ag 2.78
Ag 0.5847 0.5847 0.7211  3 Ge 2.69-2.81, 1 Ag 2.78
Ge 0.2486 0.2486 0.8541  2 Ge 2.68, 3 Ag 2.69-2.81
Ge 0.7514 0.7514 0.1459  2 Ge 2.68, 3 Ag 2.69-2.81

Properties
**N(E_F)**: 0.439 states/eV/atom
**ΔE_f**: 0.192 eV/atom
**V**: 145.9 Å³ per cell


Tb2NdTmSe4 | PBE | relaxed

Cell lengths 7.0698, 4.0498, 7.2516 Å; angles 90.00, 108.72, 90.00 degrees
Closest atoms and distances in Å follow each position.
Fractional positions:
Tb 0.0000 0.0000 0.0000  6 Se 2.86
Tb 0.0000 0.5000 0.5000  6 Se 2.94-2.95
Nd 0.5000 0.0000 0.5000  6 Se 2.96
Tm 0.5000 0.5000 0.0000  6 Se 2.87
Se 0.2447 0.5000 0.2389  3 Tb 2.86-2.95, 1 Tm 2.87, 2 Nd 2.96
Se 0.2519 0.0000 0.7597  3 Tb 2.86-2.94, 2 Tm 2.87, 1 Nd 2.96
Se 0.7481 0.0000 0.2403  3 Tb 2.86-2.94, 2 Tm 2.87, 1 Nd 2.96
Se 0.7553 0.5000 0.7611  3 Tb 2.86-2.95, 1 Tm 2.87, 2 Nd 2.96

Properties
**Uncorrected formation energy**: -1.753 eV/atom
**N(E_F)**: 0.539 states/eV/atom
**V**: 196.6 Å³ per cell


LaPrEr2Bi4 | PBE | relaxed

Cell lengths 7.8828, 4.5723, 7.9128 Å; angles 90.00, 109.55, 90.00 degrees
Closest atoms and distances in Å follow each position.
Fractional positions:
La 0.0000 0.0000 0.0000  6 Bi 3.29
Pr 0.0000 0.5000 0.5000  6 Bi 3.28
Er 0.5000 0.0000 0.5000  6 Bi 3.16
Er 0.5000 0.5000 0.0000  6 Bi 3.17
Bi 0.2635 0.0000 0.7535  3 Er 3.16-3.17, 2 Pr 3.28, 1 La 3.29
Bi 0.2643 0.5000 0.2557  3 Er 3.16-3.17, 1 Pr 3.28, 2 La 3.29
Bi 0.7365 0.0000 0.2465  3 Er 3.16-3.17, 2 Pr 3.28, 1 La 3.29
Bi 0.7357 0.5000 0.7443  3 Er 3.16-3.17, 1 Pr 3.28, 2 La 3.29

Properties
**N(E_F)**: 0.147 states/eV/atom
**ΔE_f**: -0.906 eV/atom
**V**: 268.8 Å³ per cell


AsOs | PBE | relaxed

Cell lengths 10.0288, 10.0288, 3.0544 Å; angles 90.00, 90.00, 120.00 degrees
Closest atoms and distances in Å follow each position.
Fractional positions:
As 0.1002 0.3895 0.2500  4 Os 2.38-2.48
As 0.2893 0.8998 0.2500  4 Os 2.38-2.48
As 0.3895 0.2893 0.7500  4 Os 2.38-2.48
As 0.6105 0.7107 0.2500  4 Os 2.38-2.48
As 0.7107 0.1002 0.7500  4 Os 2.38-2.48
As 0.8998 0.6105 0.7500  4 Os 2.38-2.48
Os 0.0957 0.6345 0.2500  4 As 2.38-2.48
Os 0.3655 0.4612 0.2500  4 As 2.38-2.48
Os 0.4612 0.0957 0.7500  4 As 2.38-2.48
Os 0.5388 0.9043 0.2500  4 As 2.38-2.48
Os 0.6345 0.5388 0.7500  4 As 2.38-2.48
Os 0.9043 0.3655 0.7500  4 As 2.38-2.48

Properties
**N(E_F)**: 0.859 states/eV/atom
**ΔE_f**: 0.374 eV/atom
**V**: 266.0 Å³ per cell


Q: Which formula does entry 3 have?
A: TlAgGe


Please write out number 4 again, unchanged.
Tb2NdTmSe4 | PBE | relaxed

Cell lengths 7.0698, 4.0498, 7.2516 Å; angles 90.00, 108.72, 90.00 degrees
Closest atoms and distances in Å follow each position.
Fractional positions:
Tb 0.0000 0.0000 0.0000  6 Se 2.86
Tb 0.0000 0.5000 0.5000  6 Se 2.94-2.95
Nd 0.5000 0.0000 0.5000  6 Se 2.96
Tm 0.5000 0.5000 0.0000  6 Se 2.87
Se 0.2447 0.5000 0.2389  3 Tb 2.86-2.95, 1 Tm 2.87, 2 Nd 2.96
Se 0.2519 0.0000 0.7597  3 Tb 2.86-2.94, 2 Tm 2.87, 1 Nd 2.96
Se 0.7481 0.0000 0.2403  3 Tb 2.86-2.94, 2 Tm 2.87, 1 Nd 2.96
Se 0.7553 0.5000 0.7611  3 Tb 2.86-2.95, 1 Tm 2.87, 2 Nd 2.96

Properties
**Uncorrected formation energy**: -1.753 eV/atom
**N(E_F)**: 0.539 states/eV/atom
**V**: 196.6 Å³ per cell